The following is a DFT calculation (PBE-GGA) of crystalline LiBeCo2 at its relaxed geometry.

Computed properties:
The calculation puts the density of states at the Fermi level at 2.21 states/eV per cell. The size of the total moment is 2.08 Bohr magnetons per cell. The total energy is -19.54 eV/cell.

a = 2.588 Å, b = 4.032 Å, c = 3.862 Å
α = 90.00°, β = 90.00°, γ = 90.00°
Site moments in Bohr magnetons follow the coordinates.
Element x y z (fractional)
Be (0.000, 0.500, 0.500)  -0.04
Co (0.500, 0.500, 0.000)  0.91
Co (0.000, 0.000, 0.000)  1.35
Li (0.500, 0.000, 0.500)  -0.05

The following is a DFT calculation (PBE-GGA) of crystalline LiBeCo2 at its relaxed geometry.

Computed properties:
The calculation puts the density of states at the Fermi level at 4.20 states/eV per cell. The size of the total moment is 1.77 Bohr magnetons per cell. The total energy is -19.61 eV/cell.

a = 4.630 Å, b = 4.630 Å, c = 4.630 Å
α = 148.36°, β = 127.75°, γ = 62.38°
Site moments in Bohr magnetons follow the coordinates.
Element x y z (fractional)
Co (0.021, 0.021, 0.000)  0.97
Be (0.250, 0.750, 0.500)  -0.05
Li (0.750, 0.250, 0.500)  -0.03
Co (0.479, 0.479, 0.000)  0.97

The following is a DFT calculation (PBE-GGA) of crystalline LiBeCo2 at its relaxed geometry.

Computed properties:
The calculation puts the density of states at the Fermi level at 4.23 states/eV per cell. The size of the total moment is 2.51 Bohr magnetons per cell. The total energy is -19.31 eV/cell.

a = 3.487 Å, b = 3.410 Å, c = 3.410 Å
α = 90.00°, β = 90.00°, γ = 90.00°
Site moments in Bohr magnetons follow the coordinates.
Element x y z (fractional)
Co (0.000, 0.500, 0.500)  1.33
Be (0.500, 0.000, 0.500)  -0.06
Co (0.000, 0.000, 0.000)  1.33
Li (0.500, 0.500, 0.000)  -0.03

The following is a DFT calculation (PBE-GGA) of crystalline LiBe2Co at its relaxed geometry.

Computed properties:
The calculation puts the density of states at the Fermi level at 2.10 states/eV per cell. The size of the total moment is 0.74 Bohr magnetons per cell. The total energy is -16.23 eV/cell.

a = 8.039 Å, b = 8.039 Å, c = 8.039 Å
α = 17.42°, β = 17.42°, γ = 17.42°
Site moments in Bohr magnetons follow the coordinates.
Element x y z (fractional)
Li (0.750, 0.750, 0.750)  0.01
Co (0.250, 0.250, 0.250)  0.77
Be (0.508, 0.508, 0.508)  -0.01
Be (0.992, 0.992, 0.992)  -0.01

The following is a DFT calculation (PBE-GGA) of crystalline Li2BeCo at its relaxed geometry.

Computed properties:
The calculation puts the density of states at the Fermi level at 2.12 states/eV per cell. The size of the total moment is 0.00 Bohr magnetons per cell. The total energy is -14.42 eV/cell.

a = 2.791 Å, b = 2.791 Å, c = 6.655 Å
α = 90.00°, β = 90.00°, γ = 90.00°
Element x y z (fractional)
Be (0.000, 0.000, 0.568)
Li (0.000, 0.000, 0.943)
Co (0.500, 0.500, 0.684)
Li (0.500, 0.500, 0.305)

The following is a DFT calculation (PBE-GGA) of crystalline Li3BeCo at its relaxed geometry.

Computed properties:
The calculation puts the density of states at the Fermi level at 8.54 states/eV per cell. The size of the total moment is 0.80 Bohr magnetons per cell. The total energy is -11.73 eV/cell.

a = 4.442 Å, b = 4.442 Å, c = 4.442 Å
α = 90.00°, β = 90.00°, γ = 90.00°
Site moments in Bohr magnetons follow the coordinates.
Element x y z (fractional)
Li (0.500, 0.000, 0.000)  -0.01
Co (0.000, 0.000, 0.000)  1.19
Be (0.500, 0.500, 0.500)  -0.04
Li (0.000, 0.500, 0.000)  -0.01
Li (0.000, 0.000, 0.500)  -0.01

The following is a DFT calculation (PBE-GGA) of crystalline Li2BeCo at its relaxed geometry.

Computed properties:
The calculation puts the density of states at the Fermi level at 2.57 states/eV per cell. The size of the total moment is 1.08 Bohr magnetons per cell. The total energy is -13.10 eV/cell.

a = 4.322 Å, b = 4.322 Å, c = 2.436 Å
α = 90.00°, β = 90.00°, γ = 90.00°
Site moments in Bohr magnetons follow the coordinates.
Element x y z (fractional)
Li (0.500, 0.500, 0.000)  -0.04
Li (0.000, 0.000, 0.000)  -0.04
Be (0.500, 0.000, 0.500)  -0.01
Co (0.000, 0.500, 0.500)  1.27

The following is a DFT calculation (PBE-GGA) of crystalline LiBeCo2 at its relaxed geometry.

Computed properties:
The calculation puts the density of states at the Fermi level at 4.23 states/eV per cell. The size of the total moment is 2.58 Bohr magnetons per cell. The total energy is -19.38 eV/cell.

a = 4.304 Å, b = 4.304 Å, c = 2.384 Å
α = 90.00°, β = 90.00°, γ = 112.45°
Site moments in Bohr magnetons follow the coordinates.
Element x y z (fractional)
Li (0.500, 0.000, 0.500)  -0.05
Co (0.000, 0.000, 0.000)  1.37
Be (0.000, 0.500, 0.500)  -0.04
Co (0.500, 0.500, 0.000)  1.37

The following is a DFT calculation (PBE-GGA) of crystalline Li2BeCo at its relaxed geometry.

Computed properties:
The calculation puts the density of states at the Fermi level at 1.61 states/eV per cell. The size of the total moment is 1.00 Bohr magnetons per cell. The total energy is -13.96 eV/cell.

a = 8.873 Å, b = 8.873 Å, c = 8.873 Å
α = 15.75°, β = 15.75°, γ = 15.75°
Site moments in Bohr magnetons follow the coordinates.
Element x y z (fractional)
Li (0.499, 0.499, 0.499)  -0.04
Be (0.250, 0.250, 0.250)  -0.01
Li (0.001, 0.001, 0.001)  -0.04
Co (0.750, 0.750, 0.750)  1.20

The following is a DFT calculation (PBE-GGA) of crystalline Li2BeCo at its relaxed geometry.

Computed properties:
The calculation puts the density of states at the Fermi level at 4.13 states/eV per cell. The size of the total moment is 1.94 Bohr magnetons per cell. The total energy is -25.49 eV/cell.

a = 6.471 Å, b = 6.471 Å, c = 5.091 Å
α = 50.54°, β = 50.54°, γ = 90.00°
Site moments in Bohr magnetons follow the coordinates.
Element x y z (fractional)
Co (0.000, 0.000, 0.000)  1.12
Li (0.375, 0.385, 0.750)  -0.02
Li (0.615, 0.125, 0.250)  -0.03
Be (0.250, 0.750, 0.500)  -0.03
Li (0.875, 0.865, 0.750)  -0.02
Li (0.135, 0.625, 0.250)  -0.02
Be (0.500, 0.500, 0.000)  -0.03
Co (0.750, 0.250, 0.500)  1.12

The following is a DFT calculation (PBE-GGA) of crystalline LiBe2Co at its relaxed geometry.

Computed properties:
The calculation puts the density of states at the Fermi level at 2.68 states/eV per cell. The size of the total moment is 0.00 Bohr magnetons per cell. The total energy is -16.40 eV/cell.

a = 4.433 Å, b = 4.433 Å, c = 3.776 Å
α = 65.44°, β = 65.44°, γ = 33.76°
Element x y z (fractional)
Be (0.012, 0.012, 0.990)
Li (0.256, 0.256, 0.242)
Be (0.747, 0.747, 0.750)
Co (0.485, 0.485, 0.517)

The following is a DFT calculation (PBE-GGA) of crystalline Li2BeCo at its relaxed geometry.

Computed properties:
The calculation puts the density of states at the Fermi level at 2.19 states/eV per cell. The size of the total moment is 1.31 Bohr magnetons per cell. The total energy is -13.84 eV/cell.

a = 2.406 Å, b = 2.406 Å, c = 8.699 Å
α = 90.00°, β = 90.00°, γ = 115.70°
Site moments in Bohr magnetons follow the coordinates.
Element x y z (fractional)
Be (0.500, 0.500, 0.250)  0.00
Li (0.000, 0.000, 0.501)  -0.04
Li (0.000, 0.000, 0.999)  -0.04
Co (0.500, 0.500, 0.750)  1.48